Compound: CrBr3F
Source: the Alexandria database
Functional: GGA+U
Structure: optimized geometry

Output
Mass density = 4.2 g/cm³
Polymorph energy (0 for the lowest one) = 427 meV per atom

Unit cell a=4.9728 b=4.9728 c=4.9728 alpha=90.00 beta=90.00 gamma=90.00
Space group Pm-3m (No. 221)
Unique sites:
Cr  0.0000  0.0000  0.0000 (multiplicity 1)
Br  0.0000  0.5000  0.5000 (multiplicity 3)
F  0.5000  0.5000  0.5000 (multiplicity 1)